No. 1
The following is a DFT calculation (PBE) of a geometry-optimized HoErCuSi structure.

The structure belongs to space group Amm2 (No. 38); the cell edges are 4.062, 4.032 and 10.582 Å and the angles 90.00°, 90.00° and 90.00°. The distinct sites, in fractional coordinates, are Ho at (0.000, 0.000, 0.000), Er at (0.500, 0.000, 0.719), Cu at (0.000, 0.000, 0.292) and Si at (0.500, 0.000, 0.432).

Its density of states at the Fermi level is 0.753 states/eV/atom. The formation energy (no corrections) is -0.54 eV/atom. Its crystal system is orthorhombic.

***

No. 2
The following is a DFT calculation (PBE) of a geometry-optimized Si2HgMo structure.

The structure belongs to space group C2/m (No. 12); the cell edges are 5.784, 8.763 and 3.094 Å and the angles 90.00°, 120.33° and 90.00°. The distinct sites, in fractional coordinates, are Si at (0.250, 0.250, 0.000), Hg at (0.000, 0.000, 0.000) and Mo at (0.000, 0.500, 0.000).

Its density of states at the Fermi level is 0.523 states/eV/atom. The formation energy (no corrections) is 0.54 eV/atom. Its crystal system is monoclinic.

***

No. 3
The following is a DFT calculation (PBE) of a geometry-optimized Sc3FeSi3 structure.

The structure belongs to space group C2/m (No. 12); the cell edges are 9.887, 3.970 and 12.808 Å and the angles 90.00°, 110.76° and 90.00°. The distinct sites, in fractional coordinates, are Sc at (0.023, 0.000, 0.379), Sc at (0.100, 0.000, 0.920), Sc at (0.245, 0.000, 0.229), Fe at (0.246, 0.500, 0.414), Si at (0.049, 0.500, 0.241), Si at (0.118, 0.500, 0.075) and Si at (0.137, 0.500, 0.545).

Its density of states at the Fermi level is 0.652 states/eV/atom. The formation energy (no corrections) is -0.79 eV/atom. Its crystal system is monoclinic.

***

No. 4
The following is a DFT calculation (PBE) of a geometry-optimized SrMo2I structure.

The structure belongs to space group Fm-3m (No. 225); the cell edges are 6.947, 6.947 and 6.947 Å and the angles 90.00°, 90.00° and 90.00°. The distinct sites, in fractional coordinates, are Sr at (0.000, 0.000, 0.000), Mo at (0.250, 0.250, 0.250) and I at (0.000, 0.000, 0.500).

Its density of states at the Fermi level is 1.057 states/eV/atom. The formation energy (no corrections) is 1.46 eV/atom. Its crystal system is cubic.

***

No. 5
The following is a DFT calculation (PBE) of a geometry-optimized Sr2CdRh structure.

The structure belongs to space group I-42d (No. 122); the cell edges are 10.743, 10.743 and 5.317 Å and the angles 90.00°, 90.00° and 90.00°. The distinct sites, in fractional coordinates, are Sr at (0.086, 0.250, 0.125), Cd at (0.000, 0.000, 0.500) and Rh at (0.000, 0.000, 0.000).

Its density of states at the Fermi level is 0.991 states/eV/atom. Its calculated formation energy is -135 meV per atom. Its crystal system is tetragonal.

***

No. 6
The following is a DFT calculation (PBE) of a geometry-optimized CaNb2Cd structure.

The structure belongs to space group I-42d (No. 122); the cell edges are 4.366, 4.366 and 21.809 Å and the angles 90.00°, 90.00° and 90.00°. The distinct sites, in fractional coordinates, are Ca at (0.000, 0.000, 0.000), Nb at (0.122, 0.250, 0.625) and Cd at (0.000, 0.000, 0.500).

Its density of states at the Fermi level is 1.019 states/eV/atom. Its calculated formation energy is 826 meV per atom. Its crystal system is tetragonal.

***

No. 7
The following is a DFT calculation (PBE) of a geometry-optimized LiHfSb2 structure.

The structure belongs to space group R3m (No. 160, hexagonal axes); the cell edges are 4.2342, 4.2342 and 19.1458 Å and the angles 90.00°, 90.00° and 120.00°. The distinct sites, in fractional coordinates, are Li at (0.0000, 0.0000, 0.0000), Hf at (0.0000, 0.0000, 0.8272), Sb at (0.0000, 0.0000, 0.2442) and Sb at (0.0000, 0.0000, 0.4112).

Its density of states at the Fermi level is 0.352 states/eV/atom. The formation energy (no corrections) is -0.39 eV/atom. Its crystal system is trigonal.

***

No. 8
The following is a DFT calculation (PBE) of a geometry-optimized CsCu2O structure.

The structure belongs to space group I4_1/amd (No. 141, origin choice 2); the cell edges are 6.389, 6.389 and 9.018 Å and the angles 90.00°, 90.00° and 90.00°. The distinct sites, in fractional coordinates, are Cs at (0.000, 0.250, 0.375), Cu at (0.000, 0.000, 0.000) and O at (0.000, 0.250, 0.875).

Its density of states at the Fermi level is 0.142 states/eV/atom. The formation energy (no corrections) is -0.24 eV/atom. Its crystal system is tetragonal.